A geometry-optimized NiTe2F2 structure. Source: Alexandria via LeMat-Bulk, functional PBE+U.

a = 5.8527 Å, b = 5.8527 Å, c = 5.1248 Å
α = 55.18°, β = 55.18°, γ = 90.00°
Last column: magnetic moment on the atom in μB.
Fractional coordinates of all 5 atoms:
F: 0.6966 0.6966 0.6067  -0.03
Te: 0.2500 0.7500 0.5000  -0.05
Ni: 0.0000 0.0000 0.0000  0.12
F: 0.3034 0.3034 0.3933  -0.03
Te: 0.7500 0.2500 0.5000  -0.05

symmetry: I4/mmm (139)
calculated total energy: -2.881 eV/atom
density: 5.6 g/cm³